# 1
A relaxed CaRe2Sb crystal, computed with GGA-PBEsol.

Unit cell a=3.065 b=4.231 c=6.035 alpha=90.00 beta=90.00 gamma=90.00
Space group Pmmm (No. 47)
Symmetry-distinct sites (fractional):
Ca 0.000 0.000 0.000
Re 0.500 0.500 0.305
Sb 0.000 0.000 0.500

* VASP energy: -30.20 eV/cell
* uncorrected formation energy: 3.2 eV/f.u.
* DOS at the Fermi energy: 3.68 states/eV/cell

---

# 2
A relaxed CaReSb crystal, computed with GGA-PBEsol.

Unit cell a=3.423 b=3.423 c=10.890 alpha=90.00 beta=90.00 gamma=90.00
Space group I4mm (No. 107)
Symmetry-distinct sites (fractional):
Ca 0.000 0.000 0.000
Re 0.000 0.000 0.686
Sb 0.000 0.000 0.294

* VASP energy: -39.37 eV/cell
* uncorrected formation energy: 0.3 eV/f.u.
* DOS at the Fermi energy: 2.16 states/eV/cell

---

# 3
A relaxed CaRe2Sb crystal, computed with GGA-PBEsol.

Unit cell a=3.298 b=4.982 c=9.061 alpha=90.00 beta=90.00 gamma=90.00
Space group Cmmm (No. 65)
Symmetry-distinct sites (fractional):
Ca 0.000 0.000 0.000
Re 0.000 0.500 0.272
Sb 0.000 0.000 0.500

* VASP energy: -58.99 eV/cell
* uncorrected formation energy: 3.9 eV/f.u.
* DOS at the Fermi energy: 7.64 states/eV/cell

---

# 4
A relaxed CaRe2Sb crystal, computed with GGA-PBEsol.

Unit cell a=2.842 b=5.063 c=5.195 alpha=90.00 beta=91.42 gamma=90.00
Space group P2/m (No. 10)
Symmetry-distinct sites (fractional):
Ca 0.000 0.000 0.000
Re 0.383 0.500 0.770
Sb 0.500 0.000 0.500

* VASP energy: -30.91 eV/cell
* uncorrected formation energy: 2.4 eV/f.u.
* DOS at the Fermi energy: 3.32 states/eV/cell

---

# 5
A relaxed CaReSb crystal, computed with GGA-PBEsol.

Unit cell a=6.689 b=6.689 c=6.689 alpha=90.00 beta=90.00 gamma=90.00
Space group F-43m (No. 216)
Symmetry-distinct sites (fractional):
Ca 0.000 0.000 0.000
Re 0.250 0.250 0.750
Sb 0.250 0.250 0.250

* VASP energy: -62.60 eV/cell
* uncorrected formation energy: 4.4 eV/f.u.
* DOS at the Fermi energy: 23.57 states/eV/cell

---

# 6
A relaxed CaSc2Re crystal, computed with GGA-PBEsol.

Unit cell a=6.873 b=6.873 c=6.873 alpha=90.00 beta=90.00 gamma=90.00
Space group F-43m (No. 216)
Symmetry-distinct sites (fractional):
Ca 0.000 0.000 0.000
Sc 0.000 0.000 0.500
Sc 0.250 0.250 0.250
Re 0.250 0.250 0.750

* ΔE_f: 0.4528 eV/atom
* VASP energy: -107.46 eV/cell
* DOS at the Fermi energy: 17.00 states/eV/cell

---

# 7
A relaxed CaSc2Re crystal, computed with GGA-PBEsol.

Unit cell a=8.971 b=3.137 c=6.305 alpha=90.00 beta=97.97 gamma=90.00
Space group C2/m (No. 12)
Symmetry-distinct sites (fractional):
Ca 0.000 0.000 0.000
Sc 0.224 0.000 0.692
Re 0.000 0.500 0.500

* ΔE_f: 0.2830 eV/atom
* VASP energy: -55.09 eV/cell
* DOS at the Fermi energy: 6.17 states/eV/cell

---

# 8
A relaxed CaSc2Re crystal, computed with GGA-PBEsol.

Unit cell a=6.831 b=6.831 c=6.831 alpha=90.00 beta=90.00 gamma=90.00
Space group Fm-3m (No. 225)
Symmetry-distinct sites (fractional):
Ca 0.000 0.000 0.000
Sc 0.250 0.250 0.250
Re 0.000 0.000 0.500

* ΔE_f: 0.2541 eV/atom
* VASP energy: -110.64 eV/cell
* DOS at the Fermi energy: 20.33 states/eV/cell

---

# 9
A relaxed CaSc2Re crystal, computed with GGA-PBEsol.

Unit cell a=3.2377 b=3.2377 c=30.6198 alpha=90.00 beta=90.00 gamma=120.00
Space group R-3m (No. 166, hexagonal axes)
Symmetry-distinct sites (fractional):
Ca 0.0000 0.0000 0.0000
Sc 0.0000 0.0000 0.1040
Re 0.0000 0.0000 0.5000

* ΔE_f: 0.3080 eV/atom
* VASP energy: -82.33 eV/cell
* DOS at the Fermi energy: 12.31 states/eV/cell

---

# 10
A relaxed CaScRe crystal, computed with GGA-PBEsol.

Unit cell a=6.541 b=6.541 c=6.541 alpha=90.00 beta=90.00 gamma=90.00
Space group F-43m (No. 216)
Symmetry-distinct sites (fractional):
Ca 0.000 0.000 0.000
Sc 0.000 0.000 0.500
Re 0.250 0.250 0.250

* ΔE_f: 0.8855 eV/atom
* VASP energy: -77.66 eV/cell
* DOS at the Fermi energy: 8.82 states/eV/cell

---

# 11
A relaxed CaReSe crystal, computed with GGA-PBEsol.

Unit cell a=4.2567 b=4.2567 c=3.7726 alpha=90.00 beta=90.00 gamma=120.00
Space group P-6m2 (No. 187)
Symmetry-distinct sites (fractional):
Ca 0.0000 0.0000 0.0000
Re 0.3333 0.6667 0.5000
Se 0.6667 0.3333 0.5000

* VASP energy: -19.03 eV/cell
* uncorrected formation energy: 0.3 eV/f.u.
* DOS at the Fermi energy: 3.21 states/eV/cell

---

# 12
A relaxed CaReSe2 crystal, computed with GGA-PBEsol.

Unit cell a=3.349 b=3.927 c=6.114 alpha=90.00 beta=90.78 gamma=90.00
Space group P2/m (No. 10)
Symmetry-distinct sites (fractional):
Ca 0.000 0.000 0.000
Re 0.500 0.000 0.500
Se 0.403 0.500 0.736

* VASP energy: -24.29 eV/cell
* uncorrected formation energy: -1.1 eV/f.u.
* DOS at the Fermi energy: 2.77 states/eV/cell